This record from the Alexandria database describes crystalline CeDy2Sn2Rh5 at its relaxed geometry. The functional is PBE.

abc: 3.8413 10.1938 10.1938
angles: 90.00 90.00 90.00
Fractional coordinates of all 20 atoms:
Rh (0.5000, 0.7980, 0.9385)
Rh (0.5000, 0.2020, 0.0615)
Rh (0.5000, 0.7020, 0.4385)
Rh (0.5000, 0.9385, 0.2020)
Rh (0.5000, 0.5615, 0.7020)
Rh (0.5000, 0.0000, 0.5000)
Rh (0.5000, 0.2980, 0.5615)
Rh (0.5000, 0.0615, 0.7980)
Rh (0.5000, 0.4385, 0.2980)
Rh (0.5000, 0.5000, 0.0000)
Sn (0.0000, 0.3698, 0.1302)
Sn (0.0000, 0.1302, 0.6302)
Sn (0.0000, 0.6302, 0.8698)
Sn (0.0000, 0.8698, 0.3698)
Dy (0.0000, 0.1672, 0.3328)
Dy (0.0000, 0.8328, 0.6672)
Dy (0.0000, 0.6672, 0.1672)
Dy (0.0000, 0.3328, 0.8328)
Ce (0.0000, 0.0000, 0.0000)
Ce (0.0000, 0.5000, 0.5000)

DOS(E_F): 0.403 states/eV per atom
E: -6.66 eV/atom
formation energy from the elements: -6.7 eV/f.u.
space group: No. 127
volume: 19.958 Å³/atom



This record from the Alexandria database describes crystalline CeDyTlRh at its relaxed geometry. The functional is PBE.

abc: 5.1762 5.1762 5.1762
angles: 60.00 60.00 60.00
Last column: magnetic moment on the atom in μB.
Fractional coordinates of all 4 atoms:
Dy (0.2500, 0.2500, 0.2500)  0.03
Ce (0.7500, 0.7500, 0.7500)  0.56
Rh (0.5000, 0.5000, 0.5000)  -0.04
Tl (0.0000, 0.0000, 0.0000)  0.00

DOS(E_F): 1.871 states/eV per atom
E: -5.44 eV/atom
formation energy from the elements: -1.5 eV/f.u.
space group: No. 216
volume: 24.517 Å³/atom
energy relative to the lowest polymorph listed for this composition: 169.4 meV per atom



This record from the Alexandria database describes crystalline CeDyTlRh at its relaxed geometry. The functional is PBE.

abc: 3.4398 3.4398 8.2407
angles: 90.00 90.00 90.00
Last column: magnetic moment on the atom in μB.
Fractional coordinates of all 4 atoms:
Rh (0.0000, 0.0000, 0.5652)  -0.06
Ce (0.5000, 0.5000, 0.7803)  0.62
Dy (0.5000, 0.5000, 0.3628)  0.01
Tl (0.0000, 0.0000, 0.0763)  0.01

DOS(E_F): 1.447 states/eV per atom
E: -5.61 eV/atom
formation energy from the elements: -2.2 eV/f.u.
space group: No. 99
volume: 24.377 Å³/atom
energy relative to the lowest polymorph listed for this composition: 0.0 meV per atom